First-principles (SCAN) data for YNbGe3 at its PBEsol-relaxed geometry, as listed in Alexandria via LeMat-Bulk.

The final energy is -118.3 eV per cell. The value obtained for the spin magnetization is 0.00 μB per formula unit. The calculation puts the volume at 23.416 A^3/atom.

The structure belongs to space group Pm-3m (No. 221); the cell edges are 4.8921, 4.8921 and 4.8921 Å and the angles 90.00°, 90.00° and 90.00°. Symmetry generates all atoms from Y at (0.0000, 0.0000, 0.0000), Nb at (0.5000, 0.5000, 0.5000) and Ge at (0.0000, 0.5000, 0.5000).